## BaCdRe2 (SCAN)

Data for a crystal of BaCdRe2 relaxed with PBEsol.

Computed properties:
SG: P4/mmm, No. 123
M_tot, μB per formula unit: 0.0
V, Å³/atom: 20.73
Calculated total energy, eV/atom: -51.38

Cell lengths 4.092, 4.092, 4.952 Å; angles 90.00, 90.00, 90.00 degrees
Sites, in units of the cell vectors:
Re: 0.000 0.500 0.000
Re: 0.500 0.000 0.000
Ba: 0.500 0.500 0.500
Cd: 0.000 0.000 0.500